Record 1
CaTa2 | PBE-GGA | optimized geometry

The structure in extended XYZ format:
```
3
Lattice="0.000 3.325 3.325 3.325 0.000 3.325 3.325 3.325 0.000" Properties=species:S:1:pos:R:3 pbc="T T T"
Ca 0.000 0.000 0.000
Ta 1.662 1.662 1.662
Ta 4.987 4.987 4.987
```

ΔH_f (0 K), eV/atom: 2.245
Space group: Fm-3m


Record 2
Ir2OsRu | PBE-GGA | optimized geometry

The structure in extended XYZ format:
```
4
Lattice="0.000 3.098 3.098 3.098 0.000 3.098 3.098 3.098 0.000" Properties=species:S:1:pos:R:3 pbc="T T T"
Ir 0.000 0.000 0.000
Ir 1.549 1.549 1.549
Os 3.098 3.098 3.098
Ru 4.647 4.647 4.647
```

ΔH_f (0 K), eV/atom: 0.653
Space group: F-43m


Record 3
Pr2Nd6SmHo3 | PBE-GGA | optimized geometry

The structure in extended XYZ format:
```
12
Lattice="3.161 -5.477 0.000 3.161 5.477 0.000 -2.106 0.000 11.843" Properties=species:S:1:pos:R:3 pbc="T T T"
Pr 3.161 3.651 0.000
Pr 3.161 -3.651 0.000
Nd 0.003 1.822 8.827
Nd 1.057 0.000 3.017
Nd 0.003 -1.822 8.827
Nd 4.213 1.822 3.015
Nd 3.160 0.000 8.825
Nd 4.213 -1.822 3.015
Sm 3.161 0.000 0.000
Ho -1.053 0.000 5.921
Ho 2.108 1.825 5.921
Ho 2.108 -1.825 5.921
```

ΔH_f (0 K), eV/atom: 0.016
Space group: C2/m


Record 4
RbCd2Pd | PBE-GGA | optimized geometry

The structure in extended XYZ format:
```
16
Lattice="7.456 0.000 0.000 0.000 5.196 0.000 0.000 0.000 12.571" Properties=species:S:1:pos:R:3 pbc="T T T"
Rb 1.094 1.299 1.251
Rb 2.635 3.897 7.537
Rb 4.822 1.299 5.034
Rb 6.363 3.897 11.320
Cd 0.978 1.299 5.015
Cd 1.348 1.299 9.768
Cd 2.381 3.897 3.482
Cd 2.750 3.897 11.301
Cd 4.707 1.299 1.270
Cd 5.076 1.299 9.089
Cd 6.109 3.897 2.804
Cd 6.478 3.897 7.556
Pd 0.176 3.897 5.046
Pd 3.552 1.299 11.332
Pd 3.904 3.897 1.239
Pd 7.280 1.299 7.525
```

ΔH_f (0 K), eV/atom: -0.160
Space group: Pnma


Record 5
BaZrCr | PBE-GGA | optimized geometry

The structure in extended XYZ format:
```
3
Lattice="0.000 3.596 3.596 3.596 0.000 3.596 3.596 3.596 0.000" Properties=species:S:1:pos:R:3 pbc="T T T"
Ba 0.000 0.000 0.000
Zr 3.596 3.596 3.596
Cr 5.394 5.394 5.394
```

ΔH_f (0 K), eV/atom: 1.152
Space group: F-43m


Record 6
Pm2Al4Zn3Au | PBE-GGA | optimized geometry

The structure in extended XYZ format:
```
10
Lattice="4.251 0.000 0.000 0.000 4.251 0.000 0.000 0.000 10.797" Properties=species:S:1:pos:R:3 pbc="T T T"
Pm 0.000 2.126 2.671
Pm 2.126 0.000 8.126
Al 0.000 0.000 0.000
Al 0.000 2.126 6.849
Al 2.126 0.000 3.948
Al 2.126 2.126 0.000
Zn 0.000 2.126 9.314
Zn 2.126 0.000 1.482
Zn 2.126 2.126 5.398
Au 0.000 0.000 5.398
```

ΔH_f (0 K), eV/atom: -0.488
Space group: P-4m2


Record 7
Ba5P2OF | PBE-GGA | optimized geometry

The structure in extended XYZ format:
```
18
Lattice="2.252 -9.702 0.000 2.252 9.702 0.000 0.000 0.000 12.406" Properties=species:S:1:pos:R:3 pbc="T T T"
Ba 2.252 9.656 6.203
Ba 2.252 7.021 2.919
Ba 2.252 5.642 7.267
Ba 2.252 5.567 10.939
Ba 2.252 1.598 3.138
Ba 2.252 -1.598 9.341
Ba 2.252 -5.567 4.736
Ba 2.252 -5.642 1.064
Ba 2.252 -7.021 9.122
Ba 2.252 -9.656 0.000
P 2.252 2.399 6.440
P 2.252 2.358 11.705
P 2.252 -2.358 5.502
P 2.252 -2.399 0.237
O 2.252 4.277 2.922
O 2.252 -4.277 9.125
F 2.252 9.627 8.931
F 2.252 -9.627 2.728
```

Calculated total energy, eV/atom: -4.673
Space group: Cmc2_1


Record 8
YMnGa5Ni2 | PBE-GGA | optimized geometry

The structure in extended XYZ format:
```
9
Lattice="4.632 0.000 0.000 0.000 4.632 0.000 0.000 0.000 7.022" Properties=species:S:1:pos:R:3 pbc="T T T"
Y 0.000 0.000 0.000
Mn 0.000 0.000 3.511
Ga 0.000 2.316 2.129
Ga 0.000 2.316 4.892
Ga 2.316 0.000 2.129
Ga 2.316 0.000 4.892
Ga 2.316 2.316 0.000
Ni 2.316 2.316 2.304
Ni 2.316 2.316 4.718
```

ΔH_f (0 K), eV/atom: -0.176
Space group: P4/mmm


Record 9
NaCa2YCl8 | PBE-GGA | optimized geometry

The structure in extended XYZ format:
```
12
Lattice="6.395 0.000 0.000 0.000 8.393 0.000 -0.038 0.000 6.485" Properties=species:S:1:pos:R:3 pbc="T T T"
Na 0.000 0.000 0.000
Ca 3.178 2.027 3.243
Ca 3.178 6.366 3.243
Y 0.000 4.196 0.000
Cl 1.293 2.255 5.277
Cl 1.293 6.138 5.277
Cl 1.822 4.196 2.002
Cl 1.880 0.000 2.037
Cl 4.476 0.000 4.448
Cl 4.534 4.196 4.483
Cl 5.064 2.255 1.208
Cl 5.064 6.138 1.208
```

Calculated total energy, eV/atom: -4.467
Space group: P2/m


Record 10
HoZr2S4 | PBE-GGA | optimized geometry

The structure in extended XYZ format:
```
14
Lattice="1.811 -5.998 0.000 1.811 5.998 0.000 0.000 0.000 13.101" Properties=species:S:1:pos:R:3 pbc="T T T"
Ho 1.811 4.665 9.826
Ho 1.811 -4.665 3.275
Zr 1.811 1.738 7.332
Zr 1.811 1.738 12.319
Zr 1.811 -1.738 0.782
Zr 1.811 -1.738 5.768
S 0.000 0.000 0.000
S 0.000 0.000 6.550
S 1.811 2.594 1.653
S 1.811 2.594 4.897
S 1.811 0.654 9.826
S 1.811 -0.654 3.275
S 1.811 -2.594 8.203
S 1.811 -2.594 11.448
```

Calculated total energy, eV/atom: -7.121
Space group: Cmcm


Record 11
Er3Tl2Cd | PBE-GGA | optimized geometry

The structure in extended XYZ format:
```
6
Lattice="3.714 0.000 0.000 0.000 3.714 0.000 0.000 0.000 11.472" Properties=species:S:1:pos:R:3 pbc="T T T"
Er 0.000 0.000 0.000
Er 0.000 0.000 3.921
Er 0.000 0.000 7.551
Tl 1.857 1.857 1.982
Tl 1.857 1.857 9.490
Cd 1.857 1.857 5.736
```

ΔH_f (0 K), eV/atom: -0.318
Space group: P4/mmm


Record 12
NdU2O7 | PBE-GGA | optimized geometry

The structure in extended XYZ format:
```
10
Lattice="1.931 1.115 10.417 -1.931 1.115 10.417 0.000 -2.230 10.417" Properties=species:S:1:pos:R:3 pbc="T T T"
Nd 0.000 0.000 0.000
U 0.000 0.000 13.550
U 0.000 0.000 17.701
O 0.000 0.000 2.485
O 0.000 0.000 6.867
O 0.000 0.000 11.389
O 0.000 0.000 15.625
O 0.000 0.000 19.862
O 0.000 0.000 24.384
O 0.000 0.000 28.766
```

Calculated total energy, eV/atom: -9.449
Space group: R-3m


Record 13
Ge2Pd2S | PBE-GGA | optimized geometry

The structure in extended XYZ format:
```
10
Lattice="6.970 0.000 0.000 0.000 6.970 0.000 0.000 0.000 3.517" Properties=species:S:1:pos:R:3 pbc="T T T"
Ge 1.071 2.414 0.000
Ge 2.414 5.899 0.000
Ge 4.556 1.071 0.000
Ge 5.899 4.556 0.000
Pd 0.997 4.482 1.759
Pd 2.488 0.997 1.759
Pd 4.482 5.973 1.759
Pd 5.973 2.488 1.759
S 0.000 0.000 1.759
S 3.485 3.485 1.759
```

Calculated total energy, eV/atom: -4.850
Space group: P4/mbm


Record 14
Ac2BPt6Au | PBE-GGA | optimized geometry

The structure in extended XYZ format:
```
10
Lattice="2.893 1.670 6.963 -2.893 1.670 6.963 0.000 -3.341 6.963" Properties=species:S:1:pos:R:3 pbc="T T T"
Ac 0.000 0.000 4.541
Ac 0.000 0.000 16.349
B 0.000 0.000 0.000
Pt 0.000 -1.611 8.190
Pt -1.395 0.805 8.190
Pt -1.395 -0.805 12.700
Pt 1.395 0.805 8.190
Pt 1.395 -0.805 12.700
Pt 0.000 1.611 12.700
Au 0.000 0.000 10.445
```

ΔH_f (0 K), eV/atom: -0.798
Space group: R-3m


Record 15
Hf2MgI2 | PBE-GGA | optimized geometry

The structure in extended XYZ format:
```
10
Lattice="8.398 0.000 0.000 0.000 8.398 0.000 0.000 0.000 3.493" Properties=species:S:1:pos:R:3 pbc="T T T"
Hf 1.250 2.949 0.000
Hf 2.949 7.148 0.000
Hf 5.449 1.250 0.000
Hf 7.148 5.449 0.000
Mg 0.000 0.000 0.000
Mg 4.199 4.199 0.000
I 1.219 5.418 1.747
I 2.980 1.219 1.747
I 5.418 7.179 1.747
I 7.179 2.980 1.747
```

Calculated total energy, eV/atom: -4.525
Space group: P4/mbm


Record 16
TmLuTlAu | PBE-GGA | optimized geometry

The structure in extended XYZ format:
```
4
Lattice="0.000 3.645 3.645 3.645 0.000 3.645 3.645 3.645 0.000" Properties=species:S:1:pos:R:3 pbc="T T T"
Tm 0.000 0.000 0.000
Lu 3.645 3.645 3.645
Tl 1.823 1.823 1.823
Au 5.468 5.468 5.468
```

ΔH_f (0 K), eV/atom: -0.560
Space group: F-43m


Record 17
Nd4CoAsBr2 | PBE-GGA | optimized geometry

The structure in extended XYZ format:
```
8
Lattice="7.565 0.000 0.000 0.000 4.035 0.000 -2.287 0.000 7.487" Properties=species:S:1:pos:R:3 pbc="T T T"
Nd 1.118 0.000 1.433
Nd 0.080 2.017 5.936
Nd 5.197 2.017 1.551
Nd 4.159 0.000 6.054
Co 0.000 2.017 0.000
As 3.782 0.000 0.000
Br -1.144 0.000 3.744
Br 2.639 2.017 3.744
```

Calculated total energy, eV/atom: -5.317
Space group: P2/m


Record 18
SrMgAl2 | PBE-GGA | optimized geometry

The structure in extended XYZ format:
```
4
Lattice="4.590 0.000 0.000 0.000 4.653 0.000 -0.010 0.000 4.621" Properties=species:S:1:pos:R:3 pbc="T T T"
Sr 0.000 0.000 0.000
Mg -0.005 2.327 2.310
Al 2.290 0.000 2.310
Al 2.295 2.327 0.000
```

ΔH_f (0 K), eV/atom: 0.023
Space group: P2/m


Record 19
KNiI | PBE-GGA | optimized geometry

The structure in extended XYZ format:
```
6
Lattice="6.244 -2.000 0.000 6.244 2.000 0.000 -1.942 0.000 7.466" Properties=species:S:1:pos:R:3 pbc="T T T"
K 0.000 0.000 0.000
K 7.144 0.000 3.574
Ni 3.902 0.000 1.661
Ni 10.557 0.000 3.051
I 3.786 0.000 4.501
I 9.134 0.000 0.473
```

Calculated total energy, eV/atom: -3.070
Space group: Cm


Record 20
TbPd8Au2 | PBE-GGA | optimized geometry

The structure in extended XYZ format:
```
11
Lattice="3.709 -7.051 0.000 3.709 7.051 0.000 -3.271 0.000 3.686" Properties=species:S:1:pos:R:3 pbc="T T T"
Tb 0.000 0.000 0.000
Pd -0.646 1.949 2.731
Pd 3.709 4.316 0.000
Pd -0.646 -1.949 2.731
Pd 1.243 0.000 2.748
Pd 2.904 0.000 0.938
Pd 4.794 1.949 0.955
Pd 3.709 -4.316 0.000
Pd 4.794 -1.949 0.955
Au 2.074 2.558 1.843
Au 2.074 -2.558 1.843
```

ΔH_f (0 K), eV/atom: -0.241
Space group: C2/m


| no. | V (Å³/f.u.) |
| --- | --- |
| 1 | 73.5 |
| 2 | 59.5 |
| 3 | 410.1 |
| 4 | 121.8 |
| 5 | 93.0 |
| 6 | 195.1 |
| 7 | 271.1 |
| 8 | 150.7 |
| 9 | 348.1 |
| 10 | 142.3 |
| 11 | 158.2 |
| 12 | 134.5 |
| 13 | 85.4 |
| 14 | 201.9 |
| 15 | 123.2 |
| 16 | 96.9 |
| 17 | 228.5 |
| 18 | 98.7 |
| 19 | 93.2 |
| 20 | 192.8 |